[1]
# K2NaBiSb, relaxed, DFT PBE
# Raw formation energy (eV per atom): 0.152
data_K2NaBiSb
_symmetry_space_group_name_H-M 'P 4/m m m'
_symmetry_Int_Tables_number 123
_symmetry_space_group_name_Hall '-P 4 2'
_cell_length_a 6.764
_cell_length_b 6.764
_cell_length_c 5.947
_cell_angle_alpha 90.00
_cell_angle_beta 90.00
_cell_angle_gamma 90.00
loop_
_atom_site_label
_atom_site_type_symbol
_atom_site_fract_x
_atom_site_fract_y
_atom_site_fract_z
K1 K 0.000 0.500 0.000
Na1 Na 0.000 0.000 0.500
Bi1 Bi 0.000 0.000 0.000
Sb1 Sb 0.500 0.500 0.500

[2]
# K2NaScBi2, relaxed, DFT PBE
# Formation energy from the elements (eV/atom): -0.54
data_K2NaScBi2
_symmetry_space_group_name_H-M 'I b a m'
_symmetry_Int_Tables_number 72
_symmetry_space_group_name_Hall '-I 2 2c'
_cell_length_a 7.369
_cell_length_b 16.615
_cell_length_c 7.292
_cell_angle_alpha 90.00
_cell_angle_beta 90.00
_cell_angle_gamma 90.00
loop_
_atom_site_label
_atom_site_type_symbol
_atom_site_fract_x
_atom_site_fract_y
_atom_site_fract_z
K1 K 0.224 0.175 0.000
Na1 Na 0.000 0.000 0.250
Sc1 Sc 0.000 0.500 0.250
Bi1 Bi 0.216 0.397 0.000

[3]
# KNaBi2Se4, relaxed, DFT PBE
# Raw formation energy (eV per atom): -0.660
data_KNaBi2Se4
_symmetry_space_group_name_H-M 'C m c m'
_symmetry_Int_Tables_number 63
_symmetry_space_group_name_Hall '-C 2c 2'
_cell_length_a 4.361
_cell_length_b 14.294
_cell_length_c 15.489
_cell_angle_alpha 90.00
_cell_angle_beta 90.00
_cell_angle_gamma 90.00
loop_
_atom_site_label
_atom_site_type_symbol
_atom_site_fract_x
_atom_site_fract_y
_atom_site_fract_z
K1 K 0.000 0.112 0.250
Na1 Na 0.000 0.164 0.750
Bi1 Bi 0.000 0.369 0.065
Se1 Se 0.000 0.000 0.000
Se2 Se 0.000 0.268 0.602
Se3 Se 0.000 0.445 0.250

| no. | total DFT energy (no corrections) (eV per cell) |
| --- | --- |
| 1 | -10.76 |
| 2 | -83.43 |
| 3 | -117.59 |